Here is an optimized crystal structure of TbUFe4 from Alexandria via LeMat-Bulk. Energies are from GGA-PBE.

Geometry as CIF:
```
data_TbUFe4
_chemical_formula_sum 'Tb2 U2 Fe8'
_cell_length_a 5.363
_cell_length_b 5.934
_cell_length_c 6.473
_cell_angle_alpha 81.52
_cell_angle_beta 74.57
_cell_angle_gamma 76.44
_space_group_name_H-M_alt 'P -1'
_space_group_IT_number 2
loop_
_space_group_symop_operation_xyz
'x,y,z'
'-x,-y,-z'
loop_
_atom_site_label
_atom_site_fract_x
_atom_site_fract_y
_atom_site_fract_z
Tb1 0.213 0.102 0.252
U1 0.331 0.450 0.818
Fe1 0.175 0.581 0.393
Fe2 0.205 0.762 0.983
Fe3 0.210 0.151 0.734
Fe4 0.410 0.790 0.562
```

## Properties
Energy of formation: -42 meV per atom
Final energy: -8.337 eV/atom

Here is an optimized crystal structure of Tb2V2Fe15 from Alexandria via LeMat-Bulk. Energies are from GGA-PBE.

Geometry as CIF:
```
data_Tb2V2Fe15
_chemical_formula_sum 'Tb6 V6 Fe45'
_cell_length_a 8.3817
_cell_length_b 8.3817
_cell_length_c 12.5125
_cell_angle_alpha 90.00
_cell_angle_beta 90.00
_cell_angle_gamma 120.00
_space_group_name_H-M_alt 'R -3 m'
_space_group_IT_number 166
_space_group_name_Hall '-R 3 2"'
loop_
_atom_site_label
_atom_site_fract_x
_atom_site_fract_y
_atom_site_fract_z
Tb1 0.0000 0.0000 0.1545
V1 0.0000 0.0000 0.4040
Fe1 0.0000 0.3019 0.5000
Fe2 0.0000 0.5000 0.0000
Fe3 0.0018 0.5009 0.3411
```

## Properties
Energy of formation: -45 meV per atom
Final energy: -8.174 eV/atom

Here is an optimized crystal structure of TbVFe10 from Alexandria via LeMat-Bulk. Energies are from GGA-PBE.

Geometry as CIF:
```
data_TbVFe10
_chemical_formula_sum 'Tb1 V1 Fe10'
_cell_length_a 4.012
_cell_length_b 4.809
_cell_length_c 8.285
_cell_angle_alpha 90.00
_cell_angle_beta 90.00
_cell_angle_gamma 90.00
_space_group_name_H-M_alt 'P m m m'
_space_group_IT_number 47
loop_
_space_group_symop_operation_xyz
'x,y,z'
'-x,-y,-z'
'-x,-y,z'
'x,y,-z'
'x,-y,-z'
'-x,y,z'
'-x,y,-z'
'x,-y,z'
loop_
_atom_site_label
_atom_site_fract_x
_atom_site_fract_y
_atom_site_fract_z
Tb1 0.000 0.000 0.000
V1 0.000 0.500 0.500
Fe1 0.000 0.000 0.346
Fe2 0.000 0.500 0.191
Fe3 0.500 0.000 0.500
Fe4 0.500 0.252 0.260
Fe5 0.500 0.500 0.000
```

## Properties
Energy of formation: 88 meV per atom
Final energy: -8.110 eV/atom

Here is an optimized crystal structure of TbV2Fe9 from Alexandria via LeMat-Bulk. Energies are from GGA-PBE.

Geometry as CIF:
```
data_TbV2Fe9
_chemical_formula_sum 'Tb3 V6 Fe27'
_cell_length_a 4.8392
_cell_length_b 4.8392
_cell_length_c 23.3403
_cell_angle_alpha 90.00
_cell_angle_beta 90.00
_cell_angle_gamma 120.00
_space_group_name_H-M_alt 'R -3 m'
_space_group_IT_number 166
_space_group_name_Hall '-R 3 2"'
loop_
_atom_site_label
_atom_site_fract_x
_atom_site_fract_y
_atom_site_fract_z
Tb1 0.0000 0.0000 0.0000
V1 0.0000 0.0000 0.1452
Fe1 0.0000 0.0000 0.3332
Fe2 0.0000 0.0000 0.5000
Fe3 0.0043 0.5021 0.9121
```

## Properties
Energy of formation: -34 meV per atom
Final energy: -8.287 eV/atom

Here is an optimized crystal structure of TbFe11W from Alexandria via LeMat-Bulk. Energies are from GGA-PBE.

Geometry as CIF:
```
data_TbFe11W
_chemical_formula_sum 'Tb2 Fe22 W2'
_cell_length_a 4.684
_cell_length_b 8.442
_cell_length_c 8.537
_cell_angle_alpha 90.00
_cell_angle_beta 90.00
_cell_angle_gamma 90.00
_space_group_name_H-M_alt 'I m m 2'
_space_group_IT_number 44
loop_
_space_group_symop_operation_xyz
'x,y,z'
'-x,-y,z'
'-x,y,z'
'x,-y,z'
'x+1/2,y+1/2,z+1/2'
'-x+1/2,-y+1/2,z+1/2'
'-x+1/2,y+1/2,z+1/2'
'x+1/2,-y+1/2,z+1/2'
loop_
_atom_site_label
_atom_site_fract_x
_atom_site_fract_y
_atom_site_fract_z
Tb1 0.000 0.000 0.000
Fe1 0.000 0.000 0.650
Fe2 0.000 0.279 0.508
Fe3 0.000 0.358 0.007
Fe4 0.000 0.500 0.275
Fe5 0.000 0.500 0.735
Fe6 0.250 0.250 0.255
W1 0.000 0.000 0.375
```

## Properties
Energy of formation: -15 meV per atom
Final energy: -8.528 eV/atom

Here is an optimized crystal structure of TbFeW from Alexandria via LeMat-Bulk. Energies are from GGA-PBE.

Geometry as CIF:
```
data_TbFeW
_chemical_formula_sum 'Tb16 Fe16 W16'
_cell_length_a 4.588
_cell_length_b 9.937
_cell_length_c 20.946
_cell_angle_alpha 90.00
_cell_angle_beta 90.00
_cell_angle_gamma 90.00
_space_group_name_H-M_alt 'F d d d'
_space_group_IT_number 70
loop_
_space_group_symop_operation_xyz
'x,y,z'
'-x,-y,-z'
'-x+1/4,-y+1/4,z'
'x+1/4,y+1/4,-z'
'x,-y+1/4,-z+1/4'
'-x,y+1/4,z+1/4'
'-x+1/4,y,-z+1/4'
'x+1/4,-y,z+1/4'
'x,y+1/2,z+1/2'
'-x,-y+1/2,-z+1/2'
'-x+1/4,-y+3/4,z+1/2'
'x+1/4,y+3/4,-z+1/2'
'x,-y+3/4,-z+3/4'
'-x,y+3/4,z+3/4'
'-x+1/4,y+1/2,-z+3/4'
'x+1/4,-y+1/2,z+3/4'
'x+1/2,y,z+1/2'
'-x+1/2,-y,-z+1/2'
'-x+3/4,-y+1/4,z+1/2'
'x+3/4,y+1/4,-z+1/2'
'x+1/2,-y+1/4,-z+3/4'
'-x+1/2,y+1/4,z+3/4'
'-x+3/4,y,-z+3/4'
'x+3/4,-y,z+3/4'
'x+1/2,y+1/2,z'
'-x+1/2,-y+1/2,-z'
'-x+3/4,-y+3/4,z'
'x+3/4,y+3/4,-z'
'x+1/2,-y+3/4,-z+1/4'
'-x+1/2,y+3/4,z+1/4'
'-x+3/4,y+1/2,-z+1/4'
'x+3/4,-y+1/2,z+1/4'
loop_
_atom_site_label
_atom_site_fract_x
_atom_site_fract_y
_atom_site_fract_z
Tb1 0.125 0.270 0.125
Fe1 0.125 0.125 0.538
W1 0.125 0.125 0.254
```

## Properties
Energy of formation: 665 meV per atom
Final energy: -8.017 eV/atom

Here is an optimized crystal structure of Tb2YFe from Alexandria via LeMat-Bulk. Energies are from GGA-PBE.

Geometry as CIF:
```
data_Tb2YFe
_chemical_formula_sum 'Tb6 Y3 Fe3'
_cell_length_a 3.5705
_cell_length_b 3.5705
_cell_length_c 29.3752
_cell_angle_alpha 90.00
_cell_angle_beta 90.00
_cell_angle_gamma 120.00
_space_group_name_H-M_alt 'R -3 m'
_space_group_IT_number 166
_space_group_name_Hall '-R 3 2"'
loop_
_atom_site_label
_atom_site_fract_x
_atom_site_fract_y
_atom_site_fract_z
Tb1 0.0000 0.0000 0.2292
Y1 0.0000 0.0000 0.0000
Fe1 0.0000 0.0000 0.5000
```

## Properties
Energy of formation: 213 meV per atom
Final energy: -5.833 eV/atom

Here is an optimized crystal structure of Tb3YFe8 from Alexandria via LeMat-Bulk. Energies are from GGA-PBE.

Geometry as CIF:
```
data_Tb3YFe8
_chemical_formula_sum 'Tb9 Y3 Fe24'
_cell_length_a 5.1517
_cell_length_b 5.1517
_cell_length_c 25.2118
_cell_angle_alpha 90.00
_cell_angle_beta 90.00
_cell_angle_gamma 120.00
_space_group_name_H-M_alt 'R 3 m'
_space_group_IT_number 160
_space_group_name_Hall 'R 3 -2"'
loop_
_atom_site_label
_atom_site_fract_x
_atom_site_fract_y
_atom_site_fract_z
Tb1 0.0000 0.0000 0.0000
Tb2 0.0000 0.0000 0.1249
Tb3 0.0000 0.0000 0.4999
Y1 0.0000 0.0000 0.6249
Fe1 0.0000 0.0000 0.3124
Fe2 0.0000 0.0000 0.8125
Fe3 0.0001 0.5001 0.0623
Fe4 0.0003 0.5002 0.5625
```

## Properties
Energy of formation: -61 meV per atom
Final energy: -7.399 eV/atom